Model w:
DFT (PBE-GGA) results for a relaxed structure of Li4GaAu3.

```
data_Li4GaAu3
_cell_length_a 3.2022
_cell_length_b 3.2022
_cell_length_c 11.9031
_cell_angle_alpha 90.00
_cell_angle_beta 90.00
_cell_angle_gamma 90.00
_space_group_name_H-M_alt 'P 1'
_space_group_IT_number 1
_space_group_name_Hall 'P 1'
loop_
_atom_site_label
_atom_site_type_symbol
_atom_site_fract_x
_atom_site_fract_y
_atom_site_fract_z
Li1 Li 0.0000 0.0000 0.1316
Li2 Li 0.0000 0.0000 0.3753
Li3 Li 0.0000 0.0000 0.6247
Li4 Li 0.0000 0.0000 0.8684
Ga1 Ga 0.5000 0.5000 0.0000
Au1 Au 0.5000 0.5000 0.7516
Au2 Au 0.5000 0.5000 0.5000
Au3 Au 0.5000 0.5000 0.2484
```

=====

Model x:
DFT (PBE-GGA) results for a relaxed structure of Li4GaAu3.

```
data_Li4GaAu3
_cell_length_a 2.9110
_cell_length_b 4.2541
_cell_length_c 11.3372
_cell_angle_alpha 101.30
_cell_angle_beta 97.38
_cell_angle_gamma 90.00
_space_group_name_H-M_alt 'P 1'
_space_group_IT_number 1
_space_group_name_Hall 'P 1'
loop_
_atom_site_label
_atom_site_type_symbol
_atom_site_fract_x
_atom_site_fract_y
_atom_site_fract_z
Li1 Li 0.6040 0.6024 0.2081
Li2 Li 0.3960 0.3976 0.7919
Li3 Li 0.7191 0.7185 0.4383
Li4 Li 0.2809 0.2815 0.5617
Au1 Au 0.0000 0.5000 0.0000
Au2 Au 0.1606 0.1606 0.3213
Au3 Au 0.8394 0.8394 0.6787
Ga1 Ga 0.5000 0.0000 0.0000
```

=====

It comes down to model w, which is 10.7 kJ/mol of atoms more stable than the next structure.

=====

Model w:
DFT (PBE-GGA) results for a relaxed structure of Li4Ga2Au5.

```
data_Li4Ga2Au5
_cell_length_a 3.0795
_cell_length_b 7.2076
_cell_length_c 16.3575
_cell_angle_alpha 90.00
_cell_angle_beta 90.00
_cell_angle_gamma 90.00
_space_group_name_H-M_alt 'P 1'
_space_group_IT_number 1
_space_group_name_Hall 'P 1'
loop_
_atom_site_label
_atom_site_type_symbol
_atom_site_fract_x
_atom_site_fract_y
_atom_site_fract_z
Li1 Li 0.5000 0.7833 0.5596
Li2 Li 0.5000 0.0942 0.1372
Li3 Li 0.5000 0.2833 0.9404
Li4 Li 0.5000 0.7167 0.0596
Li5 Li 0.5000 0.2167 0.4404
Li6 Li 0.5000 0.9058 0.8628
Li7 Li 0.5000 0.4058 0.6372
Li8 Li 0.5000 0.5942 0.3628
Au1 Au 0.0000 0.2064 0.7960
Au2 Au 0.0000 0.1251 0.5710
Au3 Au 0.0000 0.5000 0.5000
Au4 Au 0.0000 0.2936 0.2960
Au5 Au 0.0000 0.3749 0.0710
Au6 Au 0.0000 0.7936 0.2040
Au7 Au 0.0000 0.6251 0.9290
Au8 Au 0.0000 0.8749 0.4290
Au9 Au 0.0000 0.7064 0.7040
Au10 Au 0.0000 0.0000 0.0000
Ga1 Ga 0.5000 0.9872 0.3059
Ga2 Ga 0.5000 0.4872 0.1941
Ga3 Ga 0.5000 0.0128 0.6941
Ga4 Ga 0.5000 0.5128 0.8059
```

=====

Model x:
DFT (PBE-GGA) results for a relaxed structure of Li4Ga2Au5.

```
data_Li4Ga2Au5
_cell_length_a 2.9717
_cell_length_b 6.8897
_cell_length_c 8.9407
_cell_angle_alpha 96.06
_cell_angle_beta 90.00
_cell_angle_gamma 90.00
_space_group_name_H-M_alt 'P 1'
_space_group_IT_number 1
_space_group_name_Hall 'P 1'
loop_
_atom_site_label
_atom_site_type_symbol
_atom_site_fract_x
_atom_site_fract_y
_atom_site_fract_z
Li1 Li 0.5000 0.8190 0.1036
Li2 Li 0.5000 0.7166 0.5659
Li3 Li 0.5000 0.2834 0.4341
Li4 Li 0.5000 0.1810 0.8964
Au1 Au 0.0000 0.4406 0.6826
Au2 Au 0.0000 0.5000 0.0000
Au3 Au 0.0000 0.5594 0.3174
Au4 Au 0.0000 0.1654 0.1577
Au5 Au 0.0000 0.8346 0.8423
Ga1 Ga 0.0000 0.0684 0.6373
Ga2 Ga 0.0000 0.9316 0.3627
```

=====

It comes down to model w, which is 5.7 kJ/mol of atoms more stable than the next structure.

=====

Model w:
DFT (PBE-GGA) results for a relaxed structure of Li3GaAu3.

```
data_Li3GaAu3
_cell_length_a 5.7239
_cell_length_b 5.7239
_cell_length_c 7.4361
_cell_angle_alpha 91.96
_cell_angle_beta 91.96
_cell_angle_gamma 103.44
_space_group_name_H-M_alt 'P 1'
_space_group_IT_number 1
_space_group_name_Hall 'P 1'
loop_
_atom_site_label
_atom_site_type_symbol
_atom_site_fract_x
_atom_site_fract_y
_atom_site_fract_z
Au1 Au 0.0517 0.0517 0.8015
Au2 Au 0.5216 0.9256 0.6994
Au3 Au 0.4784 0.0744 0.3006
Au4 Au 0.9256 0.5216 0.6994
Au5 Au 0.0744 0.4784 0.3006
Au6 Au 0.9483 0.9483 0.1985
Li1 Li 0.3831 0.3831 0.6461
Li2 Li 0.1476 0.8524 0.5000
Li3 Li 0.8524 0.1476 0.5000
Li4 Li 0.7612 0.2388 0.0000
Li5 Li 0.2388 0.7612 0.0000
Li6 Li 0.6169 0.6169 0.3539
Ga1 Ga 0.3199 0.3199 0.0536
Ga2 Ga 0.6801 0.6801 0.9464
```

=====

Model x:
DFT (PBE-GGA) results for a relaxed structure of Li3GaAu3.

```
data_Li3GaAu3
_cell_length_a 6.3304
_cell_length_b 6.3304
_cell_length_c 6.0330
_cell_angle_alpha 90.00
_cell_angle_beta 90.00
_cell_angle_gamma 88.32
_space_group_name_H-M_alt 'P 1'
_space_group_IT_number 1
_space_group_name_Hall 'P 1'
loop_
_atom_site_label
_atom_site_type_symbol
_atom_site_fract_x
_atom_site_fract_y
_atom_site_fract_z
Au1 Au 0.5000 0.0000 0.2569
Au2 Au 0.0000 0.5000 0.2569
Au3 Au 0.0000 0.0000 0.2494
Au4 Au 0.0000 0.0000 0.7506
Au5 Au 0.0000 0.5000 0.7431
Au6 Au 0.5000 0.0000 0.7431
Li1 Li 0.7427 0.2573 0.5000
Li2 Li 0.2573 0.7427 0.5000
Li3 Li 0.7258 0.2742 0.0000
Li4 Li 0.7486 0.7486 0.5000
Li5 Li 0.2514 0.2514 0.5000
Li6 Li 0.2742 0.7258 0.0000
Ga1 Ga 0.2581 0.2581 0.0000
Ga2 Ga 0.7419 0.7419 0.0000
```

=====

It comes down to model x, which is 4.0 kJ/mol of atoms more stable than the next structure.

=====

Model w:
DFT (PBE-GGA) results for a relaxed structure of Li3Ga2Au4.

```
data_Li3Ga2Au4
_cell_length_a 4.4502
_cell_length_b 5.5162
_cell_length_c 8.4133
_cell_angle_alpha 123.79
_cell_angle_beta 90.00
_cell_angle_gamma 113.79
_space_group_name_H-M_alt 'P 1'
_space_group_IT_number 1
_space_group_name_Hall 'P 1'
loop_
_atom_site_label
_atom_site_type_symbol
_atom_site_fract_x
_atom_site_fract_y
_atom_site_fract_z
Ga1 Ga 0.6382 0.2764 0.3066
Ga2 Ga 0.3618 0.7236 0.6934
Au1 Au 0.0447 0.0894 0.3700
Au2 Au 0.6890 0.3779 0.0418
Au3 Au 0.9553 0.9106 0.6300
Au4 Au 0.3110 0.6221 0.9582
Li1 Li 0.6615 0.3230 0.6787
Li2 Li 0.3385 0.6770 0.3213
Li3 Li 0.0000 0.0000 0.0000
```

=====

Model x:
DFT (PBE-GGA) results for a relaxed structure of Li3Ga2Au4.

```
data_Li3Ga2Au4
_cell_length_a 4.4630
_cell_length_b 4.4448
_cell_length_c 8.4147
_cell_angle_alpha 90.27
_cell_angle_beta 90.04
_cell_angle_gamma 59.81
_space_group_name_H-M_alt 'P 1'
_space_group_IT_number 1
_space_group_name_Hall 'P 1'
loop_
_atom_site_label
_atom_site_type_symbol
_atom_site_fract_x
_atom_site_fract_y
_atom_site_fract_z
Li1 Li 0.0000 0.0000 0.0000
Li2 Li 0.3332 0.3337 0.4425
Li3 Li 0.6668 0.6663 0.5575
Ga1 Ga 0.6665 0.6669 0.2164
Ga2 Ga 0.3335 0.3331 0.7836
Au1 Au 0.0003 0.9993 0.6655
Au2 Au 0.3331 0.3339 0.1103
Au3 Au 0.9997 0.0007 0.3345
Au4 Au 0.6669 0.6661 0.8897
```

=====

It comes down to model x, which is 0.7 kJ/mol of atoms more stable than the next structure.

=====

Model w:
DFT (PBE-GGA) results for a relaxed structure of LiGaAu5.

```
data_LiGaAu5
_cell_length_a 7.7637
_cell_length_b 7.7637
_cell_length_c 8.6248
_cell_angle_alpha 46.03
_cell_angle_beta 46.03
_cell_angle_gamma 71.41
_space_group_name_H-M_alt 'P 1'
_space_group_IT_number 1
_space_group_name_Hall 'P 1'
loop_
_atom_site_label
_atom_site_type_symbol
_atom_site_fract_x
_atom_site_fract_y
_atom_site_fract_z
Li1 Li 0.0000 0.0000 0.5000
Li2 Li 0.0000 0.0000 0.0000
Au1 Au 0.8256 0.1744 0.2500
Au2 Au 0.1011 0.3244 0.4825
Au3 Au 0.1744 0.8256 0.7500
Au4 Au 0.5304 0.2154 0.1258
Au5 Au 0.4696 0.7846 0.8742
Au6 Au 0.3244 0.1011 0.9825
Au7 Au 0.7846 0.4696 0.3742
Au8 Au 0.2154 0.5304 0.6258
Au9 Au 0.8989 0.6756 0.5175
Au10 Au 0.6756 0.8989 0.0175
Ga1 Ga 0.4531 0.5469 0.7500
Ga2 Ga 0.5469 0.4531 0.2500
```

=====

Model x:
DFT (PBE-GGA) results for a relaxed structure of LiGaAu5.

```
data_LiGaAu5
_cell_length_a 4.1977
_cell_length_b 4.1977
_cell_length_c 14.3346
_cell_angle_alpha 90.00
_cell_angle_beta 90.00
_cell_angle_gamma 89.83
_space_group_name_H-M_alt 'P 1'
_space_group_IT_number 1
_space_group_name_Hall 'P 1'
loop_
_atom_site_label
_atom_site_type_symbol
_atom_site_fract_x
_atom_site_fract_y
_atom_site_fract_z
Au1 Au 0.0002 0.4998 0.3876
Au2 Au 0.5002 0.9998 0.3876
Au3 Au 0.5002 0.9998 0.1124
Au4 Au 0.4998 0.0002 0.6124
Au5 Au 0.9998 0.5002 0.8876
Au6 Au 0.4998 0.0002 0.8876
Au7 Au 0.0001 0.9999 0.2500
Au8 Au 0.9999 0.0001 0.7500
Au9 Au 0.9998 0.5002 0.6124
Au10 Au 0.0002 0.4998 0.1124
Ga1 Ga 0.0000 0.0000 0.0000
Ga2 Ga 0.0000 0.0000 0.5000
Li1 Li 0.5004 0.4996 0.2500
Li2 Li 0.4996 0.5004 0.7500
```

=====

It comes down to model x, which is 6.0 kJ/mol of atoms more stable than the next structure.

=====

Model w:
DFT (PBE-GGA) results for a relaxed structure of LiGa3Au.

```
data_LiGa3Au
_cell_length_a 6.9186
_cell_length_b 5.1314
_cell_length_c 5.5876
_cell_angle_alpha 90.00
_cell_angle_beta 90.00
_cell_angle_gamma 65.90
_space_group_name_H-M_alt 'P 1'
_space_group_IT_number 1
_space_group_name_Hall 'P 1'
loop_
_atom_site_label
_atom_site_type_symbol
_atom_site_fract_x
_atom_site_fract_y
_atom_site_fract_z
Li1 Li 0.6575 0.7148 0.5524
Li2 Li 0.9031 0.2508 0.0524
Au1 Au 0.8350 0.1243 0.5524
Au2 Au 0.7256 0.8414 0.0524
Ga1 Ga 0.0759 0.6469 0.7992
Ga2 Ga 0.0759 0.6469 0.3056
Ga3 Ga 0.2160 0.1117 0.5524
Ga4 Ga 0.3446 0.8540 0.0524
Ga5 Ga 0.4846 0.3188 0.8056
Ga6 Ga 0.4846 0.3188 0.2992
```

=====

Model x:
DFT (PBE-GGA) results for a relaxed structure of LiGa3Au.

```
data_LiGa3Au
_cell_length_a 5.0546
_cell_length_b 5.0546
_cell_length_c 5.0546
_cell_angle_alpha 90.00
_cell_angle_beta 90.00
_cell_angle_gamma 90.00
_space_group_name_H-M_alt 'P 1'
_space_group_IT_number 1
_space_group_name_Hall 'P 1'
loop_
_atom_site_label
_atom_site_type_symbol
_atom_site_fract_x
_atom_site_fract_y
_atom_site_fract_z
Ga1 Ga 0.5000 0.0000 0.0000
Ga2 Ga 0.0000 0.5000 0.0000
Ga3 Ga 0.0000 0.0000 0.5000
Li1 Li 0.5000 0.5000 0.5000
Au1 Au 0.0000 0.0000 0.0000
```

=====

Model y:
DFT (PBE-GGA) results for a relaxed structure of LiGa3Au.

```
data_LiGa3Au
_cell_length_a 3.9752
_cell_length_b 3.9752
_cell_length_c 6.6186
_cell_angle_alpha 73.74
_cell_angle_beta 73.74
_cell_angle_gamma 90.18
_space_group_name_H-M_alt 'P 1'
_space_group_IT_number 1
_space_group_name_Hall 'P 1'
loop_
_atom_site_label
_atom_site_type_symbol
_atom_site_fract_x
_atom_site_fract_y
_atom_site_fract_z
Ga1 Ga 0.3463 0.8406 0.3084
Ga2 Ga 0.8406 0.3463 0.3084
Ga3 Ga 0.9856 0.9856 0.0177
Li1 Li 0.6288 0.6288 0.7540
Au1 Au 0.1998 0.1998 0.6090
```

=====

It comes down to model w, which is 0.5 kJ/mol of atoms more stable than the next structure.